The following is a PBE calculation of a geometry-optimized PmCoSn2 structure, from Alexandria via LeMat-Bulk.

Cell: 4.4744 4.4744 4.4973 Å, 90.00 90.00 90.00°
Last column: nearest neighbours and their distance in Å.
Sites, in units of the cell vectors:
Pm 0.0000 0.0000 0.0000  4 Co 3.16, 8 Sn 3.17
Co 0.5000 0.5000 0.0000  4 Pm 3.16, 8 Sn 3.17
Sn 0.0000 0.5000 0.5000  4 Sn 3.16, 4 Co 3.17, 4 Pm 3.17
Sn 0.5000 0.0000 0.5000  4 Sn 3.16, 4 Co 3.17, 4 Pm 3.17

Formation energy from the elements ... -161 meV per atom
Space group ... P4/mmm
ΔE to the lowest computed polymorph ... 0.3144 eV/atom


The following is a PBE calculation of a geometry-optimized Ti2ReSe6 structure, from Alexandria via LeMat-Bulk.

Cell: 6.1916 6.3683 10.8548 Å, 90.00 122.06 90.00°
Last column: nearest neighbours and their distance in Å.
Sites, in units of the cell vectors:
Ti 0.1875 0.1486 0.2569  6 Se 2.51-2.70
Ti 0.1875 0.3514 0.7569  6 Se 2.51-2.70
Ti 0.8125 0.6486 0.2431  6 Se 2.51-2.70
Ti 0.8125 0.8514 0.7431  6 Se 2.51-2.70
Re 0.0000 0.0000 0.5000  6 Se 2.50-2.55
Re 0.0000 0.5000 0.0000  6 Se 2.50-2.55
Se 0.1082 0.1529 0.9287  2 Ti 2.51-2.68, 1 Re 2.55
Se 0.1082 0.3471 0.4287  2 Ti 2.51-2.68, 1 Re 2.55
Se 0.2641 0.6831 0.9185  1 Re 2.52, 2 Ti 2.62-2.63
Se 0.2641 0.8169 0.4185  1 Re 2.52, 2 Ti 2.62-2.63
Se 0.4113 0.0274 0.7390  1 Re 2.50, 2 Ti 2.55-2.70
Se 0.4113 0.4726 0.2390  1 Re 2.50, 2 Ti 2.55-2.70
Se 0.5887 0.5274 0.7610  1 Re 2.50, 2 Ti 2.55-2.70
Se 0.5887 0.9726 0.2610  1 Re 2.50, 2 Ti 2.55-2.70
Se 0.7359 0.1831 0.5815  1 Re 2.52, 2 Ti 2.62-2.63
Se 0.7359 0.3169 0.0815  1 Re 2.52, 2 Ti 2.62-2.63
Se 0.8918 0.6529 0.5713  2 Ti 2.51-2.68, 1 Re 2.55
Se 0.8918 0.8471 0.0713  2 Ti 2.51-2.68, 1 Re 2.55

Space group ... P2_1/c
E_form (uncorrected) ... -0.58 eV/atom


The following DOS(E_F) values (in states/eV per atom) correspond, in order, to the records above: 1.15, 0.68.